Record 1
This record from Alexandria describes a relaxed ZnC5 crystal. The functional is PBE-GGA.

Values from the calculation:
For the density of states at the Fermi level, the calculation gives 0.1012 states/eV/atom. The value obtained for the total DFT energy (no corrections) is -7.12 eV per atom. Its excess energy over the best structure of this formula in the dataset is 0.0 meV/atom. The formation energy comes out at 0.78 eV/atom.

Cell and atoms, written as POSCAR:
```
ZnC5
1.0
1.232 3.494 0.123
-1.232 3.494 0.123
0.000 1.946 6.650
Zn C
1 5
direct
0.695 0.695 0.066
0.018 0.018 0.876
0.552 0.552 0.767
0.445 0.445 0.458
0.618 0.618 0.537
0.839 0.839 0.463
```

***

Record 2
This record from Alexandria describes a relaxed TbPd3 crystal. The functional is PBE-GGA.

Values from the calculation:
For the density of states at the Fermi level, the calculation gives 0.7466 states/eV/atom. The value obtained for the total DFT energy (no corrections) is -5.91 eV per atom. The formation energy comes out at -0.86 eV/atom.

Cell and atoms, written as POSCAR:
```
TbPd3
1.0
-1.113 -0.324 -3.966
-2.008 -3.514 0.850
-3.438 2.156 0.789
Tb Pd
1 3
direct
0.500 0.000 0.583
0.000 0.000 0.083
0.000 0.500 0.583
0.500 0.500 0.083
```

***

Record 3
This record from Alexandria describes a relaxed P2PtPbO crystal. The functional is PBE-GGA.

Values from the calculation:
The calculation puts the energy relative to the elements, uncorrected at 1.171 eV/atom. For the density of states at the Fermi level, the calculation gives 1.0817 states/eV/atom. The value obtained for the total DFT energy (no corrections) is -3.93 eV per atom. Its excess energy over the best structure of this formula in the dataset is 911.4 meV/atom.

Cell and atoms, written as POSCAR:
```
P2PtPbO
1.0
-1.958 2.040 -4.345
0.485 -4.584 -2.371
-3.678 -1.002 1.187
Pb P O Pt
1 2 1 1
direct
0.000 0.000 0.000
0.000 0.500 0.000
0.500 0.000 0.000
0.000 0.000 0.500
0.500 0.500 0.500
```

***

Record 4
This record from Alexandria describes a relaxed Na2SrZr crystal. The functional is PBE-GGA.

Values from the calculation:
For the density of states at the Fermi level, the calculation gives 1.6474 states/eV/atom. The value obtained for the total DFT energy (no corrections) is -2.38 eV per atom. Its excess energy over the best structure of this formula in the dataset is 168.2 meV/atom. The formation energy comes out at 0.83 eV/atom.

Cell and atoms, written as POSCAR:
```
Na2SrZr
1.0
-6.787 1.836 -5.902
2.362 -7.329 -4.997
-4.334 -4.683 -3.612
Sr Zr Na
2 2 4
direct
0.500 0.500 0.000
0.250 0.750 0.500
0.000 0.000 0.000
0.750 0.250 0.500
0.639 0.125 0.250
0.111 0.625 0.250
0.375 0.361 0.750
0.875 0.889 0.750
```

***

Record 5
This record from Alexandria describes a relaxed BaCa2CeHg4 crystal. The functional is PBE-GGA.

Values from the calculation:
For the density of states at the Fermi level, the calculation gives 1.6204 states/eV/atom. The value obtained for the total DFT energy (no corrections) is -2.10 eV per atom. The formation energy comes out at -0.47 eV/atom.

Cell and atoms, written as POSCAR:
```
BaCa2CeHg4
1.0
-3.652 -2.569 3.211
-2.416 -4.625 -1.738
4.762 -7.353 4.243
Ba Ca Ce Hg
1 2 1 4
direct
0.000 0.000 0.000
0.752 0.752 0.743
0.248 0.248 0.257
0.500 0.500 0.500
0.384 0.384 0.849
0.871 0.871 0.388
0.129 0.129 0.612
0.616 0.616 0.151
```

***

Record 6
This record from Alexandria describes a relaxed AcCdAg3 crystal. The functional is PBE-GGA.

Values from the calculation:
For the density of states at the Fermi level, the calculation gives 0.2409 states/eV/atom. The value obtained for the total DFT energy (no corrections) is -2.89 eV per atom. Its excess energy over the best structure of this formula in the dataset is 0.0 meV/atom. The formation energy comes out at -0.18 eV/atom.

Cell and atoms, written as POSCAR:
```
AcCdAg3
1.0
-2.616 0.049 -3.948
2.179 -3.931 -1.493
-3.678 -1.184 5.263
Ac Cd Ag
1 1 3
direct
0.012 0.012 0.024
0.640 0.640 0.280
0.269 0.769 0.539
0.769 0.269 0.539
0.400 0.400 0.799
```

***

Record 7
This record from Alexandria describes a relaxed Tm4Co2N crystal. The functional is PBE-GGA.

Values from the calculation:
The calculation puts the energy relative to the elements, uncorrected at -0.241 eV/atom. For the density of states at the Fermi level, the calculation gives 1.0419 states/eV/atom. The value obtained for the total DFT energy (no corrections) is -6.02 eV per atom.

Cell and atoms, written as POSCAR:
```
Tm4Co2N
1.0
4.509 0.000 0.000
0.000 4.509 0.000
2.255 2.255 7.294
Tm Co N
4 2 1
direct
0.690 0.690 0.620
0.310 0.310 0.380
0.000 0.500 0.000
0.500 0.000 0.000
0.129 0.129 0.743
0.871 0.871 0.257
0.000 0.000 0.000
```

***

Record 8
This record from Alexandria describes a relaxed CrReHg2 crystal. The functional is PBE-GGA.

Values from the calculation:
For the density of states at the Fermi level, the calculation gives 0.9306 states/eV/atom. The value obtained for the total DFT energy (no corrections) is -4.83 eV per atom. Its excess energy over the best structure of this formula in the dataset is 407.9 meV/atom. The formation energy comes out at 0.84 eV/atom.

Cell and atoms, written as POSCAR:
```
CrReHg2
1.0
-1.249 3.744 -1.005
-3.811 -0.994 1.034
0.739 1.317 3.990
Cr Hg Re
1 2 1
direct
0.000 0.500 0.500
0.000 0.000 0.000
0.500 0.500 0.000
0.500 0.000 0.500
```

***

Record 9
This record from Alexandria describes a relaxed DyHo2Mg6 crystal. The functional is PBE-GGA.

Values from the calculation:
For the density of states at the Fermi level, the calculation gives 0.5198 states/eV/atom. The value obtained for the total DFT energy (no corrections) is -2.66 eV per atom. The formation energy comes out at -0.07 eV/atom.

Cell and atoms, written as POSCAR:
```
DyHo2Mg6
1.0
-0.079 -1.717 -2.790
-8.516 -2.496 1.778
-6.906 5.068 -2.923
Dy Ho Mg
1 2 6
direct
0.000 0.000 0.000
0.000 0.333 0.333
0.000 0.667 0.667
0.499 0.666 0.000
0.501 0.000 0.334
0.501 0.334 0.000
0.500 0.666 0.334
0.499 0.000 0.666
0.500 0.334 0.666
```

***

Record 10
This record from Alexandria describes a relaxed DyPuOs2 crystal. The functional is PBE-GGA.

Values from the calculation:
For the density of states at the Fermi level, the calculation gives 1.4376 states/eV/atom. The value obtained for the total DFT energy (no corrections) is -10.38 eV per atom. The formation energy comes out at -0.03 eV/atom.

Cell and atoms, written as POSCAR:
```
DyPuOs2
1.0
3.385 0.000 0.000
0.000 3.385 0.000
0.000 0.000 6.853
Dy Os Pu
1 2 1
direct
0.500 0.500 0.500
0.000 0.000 0.766
0.000 0.000 0.234
0.500 0.500 0.000
```

***

Record 11
This record from Alexandria describes a relaxed Tm13Ni2 crystal. The functional is PBE-GGA.

Values from the calculation:
For the density of states at the Fermi level, the calculation gives 1.4889 states/eV/atom. The value obtained for the total DFT energy (no corrections) is -4.71 eV per atom. The formation energy comes out at -0.06 eV/atom.

Cell and atoms, written as POSCAR:
```
Tm13Ni2
1.0
6.366 -0.101 0.334
-0.931 7.866 -0.118
-0.203 -4.056 8.241
Tm Ni
13 2
direct
0.758 0.597 0.035
0.242 0.403 0.965
0.000 0.000 0.000
0.167 0.985 0.632
0.833 0.015 0.368
0.006 0.465 0.664
0.994 0.535 0.336
0.516 0.679 0.444
0.484 0.321 0.556
0.456 0.773 0.844
0.544 0.227 0.156
0.699 0.131 0.769
0.301 0.869 0.231
0.821 0.766 0.677
0.179 0.234 0.323
```

***

Record 12
This record from Alexandria describes a relaxed MgOs2Ru crystal. The functional is PBE-GGA.

Values from the calculation:
For the density of states at the Fermi level, the calculation gives 0.5916 states/eV/atom. The value obtained for the total DFT energy (no corrections) is -8.18 eV per atom. The formation energy comes out at 0.15 eV/atom.

Cell and atoms, written as POSCAR:
```
MgOs2Ru
1.0
5.040 -0.002 0.008
4.278 2.664 0.008
1.882 0.538 4.412
Mg Os Ru
1 2 1
direct
0.763 0.763 0.669
0.986 0.986 0.069
0.236 0.236 0.175
0.515 0.515 0.586
```

***

Record 13
This record from Alexandria describes a relaxed Ga2SnBi2 crystal. The functional is PBE-GGA.

Values from the calculation:
For the density of states at the Fermi level, the calculation gives 0.4885 states/eV/atom. The value obtained for the total DFT energy (no corrections) is -3.47 eV per atom. Its excess energy over the best structure of this formula in the dataset is 0.0 meV/atom. The formation energy comes out at 0.10 eV/atom.

Cell and atoms, written as POSCAR:
```
Ga2SnBi2
1.0
-0.563 -2.312 3.132
3.390 -1.847 -0.754
5.664 3.674 6.198
Bi Ga Sn
2 2 1
direct
0.396 0.396 0.208
0.604 0.604 0.792
0.750 0.250 0.500
0.250 0.750 0.500
0.000 0.000 0.000
```

***

Record 14
This record from Alexandria describes a relaxed Li2NiB2Pd5 crystal. The functional is PBE-GGA.

Values from the calculation:
For the density of states at the Fermi level, the calculation gives 0.5158 states/eV/atom. The value obtained for the total DFT energy (no corrections) is -5.20 eV per atom. The formation energy comes out at -0.31 eV/atom.

Cell and atoms, written as POSCAR:
```
Li2NiB2Pd5
1.0
2.905 0.000 0.000
0.000 9.471 0.000
0.000 0.000 9.471
Li Ni B Pd
4 2 4 10
direct
0.000 0.677 0.177
0.000 0.323 0.823
0.000 0.177 0.323
0.000 0.823 0.677
0.000 0.000 0.000
0.000 0.500 0.500
0.000 0.130 0.630
0.000 0.870 0.370
0.000 0.630 0.870
0.000 0.370 0.130
0.500 0.216 0.070
0.500 0.784 0.930
0.500 0.070 0.784
0.500 0.716 0.430
0.500 0.930 0.216
0.500 0.284 0.570
0.500 0.570 0.716
0.500 0.430 0.284
0.500 0.500 0.000
0.500 0.000 0.500
```

***

Record 15
This record from Alexandria describes a relaxed CaCdIn2Ni crystal. The functional is PBE-GGA.

Values from the calculation:
For the density of states at the Fermi level, the calculation gives 0.4282 states/eV/atom. The value obtained for the total DFT energy (no corrections) is -2.99 eV per atom. Its excess energy over the best structure of this formula in the dataset is 25.6 meV/atom. The formation energy comes out at -0.15 eV/atom.

Cell and atoms, written as POSCAR:
```
CaCdIn2Ni
1.0
4.976 0.000 0.000
0.000 4.976 0.000
0.000 0.000 5.274
Ni Ca Cd In
1 1 1 2
direct
0.000 0.000 0.000
0.000 0.000 0.500
0.500 0.500 0.500
0.000 0.500 0.000
0.500 0.000 0.000
```

***

Record 16
This record from Alexandria describes a relaxed TbHo2Tm2 crystal. The functional is PBE-GGA.

Values from the calculation:
For the density of states at the Fermi level, the calculation gives 0.8400 states/eV/atom. The value obtained for the total DFT energy (no corrections) is -4.46 eV per atom. Its excess energy over the best structure of this formula in the dataset is 65.1 meV/atom. The formation energy comes out at 0.09 eV/atom.

Cell and atoms, written as POSCAR:
```
TbHo2Tm2
1.0
9.199 0.000 0.000
0.000 9.199 0.000
0.000 0.000 3.672
Tb Ho Tm
2 4 4
direct
0.000 0.000 0.000
0.500 0.500 0.000
0.127 0.627 0.000
0.627 0.873 0.000
0.873 0.373 0.000
0.373 0.127 0.000
0.329 0.829 0.500
0.829 0.671 0.500
0.671 0.171 0.500
0.171 0.329 0.500
```

***

Record 17
This record from Alexandria describes a relaxed MnRePdSe crystal. The functional is PBE-GGA.

Values from the calculation:
The calculation puts the energy relative to the elements, uncorrected at 0.251 eV/atom. For the density of states at the Fermi level, the calculation gives 0.9217 states/eV/atom. The value obtained for the total DFT energy (no corrections) is -7.32 eV per atom. Its excess energy over the best structure of this formula in the dataset is 176.0 meV/atom.

Cell and atoms, written as POSCAR:
```
MnRePdSe
1.0
-0.710 2.088 -1.771
-3.615 -0.528 0.855
1.124 3.874 4.180
Mn Re Pd Se
1 1 1 1
direct
0.574 0.077 0.746
0.070 0.614 0.921
0.576 0.163 0.195
0.065 0.688 0.499
```

***

Record 18
This record from Alexandria describes a relaxed CoAsOs2 crystal. The functional is PBE-GGA.

Values from the calculation:
For the density of states at the Fermi level, the calculation gives 0.9781 states/eV/atom. The value obtained for the total DFT energy (no corrections) is -8.19 eV per atom. The formation energy comes out at 0.36 eV/atom.

Cell and atoms, written as POSCAR:
```
CoAsOs2
1.0
4.969 0.001 -0.002
2.252 4.429 0.002
-3.141 -2.979 2.438
As Co Os
1 1 2
direct
0.488 0.488 0.000
0.280 0.780 0.500
0.004 0.004 0.000
0.728 0.228 0.500
```

***

Record 19
This record from Alexandria describes a relaxed NdAl5Zn7 crystal. The functional is PBE-GGA.

Values from the calculation:
For the density of states at the Fermi level, the calculation gives 0.2194 states/eV/atom. The value obtained for the total DFT energy (no corrections) is -2.63 eV per atom. The formation energy comes out at -0.14 eV/atom.

Cell and atoms, written as POSCAR:
```
NdAl5Zn7
1.0
0.097 5.073 2.345
2.424 0.045 6.463
5.842 3.495 -1.141
Nd Al Zn
1 5 7
direct
0.003 0.997 0.997
0.498 0.005 0.497
0.001 0.005 0.497
0.498 0.497 0.005
0.001 0.497 0.005
0.721 0.779 0.779
0.645 0.355 0.355
0.355 0.645 0.645
0.998 0.358 0.647
0.998 0.647 0.358
0.283 0.217 0.217
0.500 0.784 0.216
0.500 0.216 0.784
```